A relaxed structure of AlCr2Fe. Source: Alexandria, functional GGA-PBE.

Lattice parameters (Å, degrees): 4.0562 2.5095 4.8059 75.76 90.00 90.00
Last column: nearest neighbours and their distance in Å.
Positions (direct):
Cr1 0.0000 0.0305 0.9984  4 Cr 2.37-2.51, 2 Fe 2.49, 2 Al 2.54
Cr2 0.0000 0.4695 0.5016  4 Cr 2.37-2.51, 2 Fe 2.49, 2 Al 2.54
Fe1 0.5000 0.2500 0.2500  2 Al 2.42, 4 Cr 2.49, 2 Fe 2.51
Al1 0.5000 0.7500 0.7500  2 Fe 2.42, 2 Al 2.51, 4 Cr 2.54

Summary:
theoretical density: 6.542 Mg/m³
raw total energy: -7.88 eV per atom
total moment: 0.801 Bohr magnetons per cell
energy relative to the lowest polymorph listed for this composition: 0.124 eV per atom
energy of formation from the pure elements: -0.41 kcal/mol of atoms

***

A relaxed structure of LiEr2ZnAu4. Source: Alexandria, functional GGA-PBE.

Lattice parameters (Å, degrees): 4.8829 4.8829 8.1478 72.56 72.56 60.00
Last column: nearest neighbours and their distance in Å.
Positions (direct):
Li1 0.5000 0.5000 0.5000  8 Au 2.74-2.99
Er1 0.7473 0.7473 0.7580  8 Au 2.92-2.99
Er2 0.2527 0.2527 0.2420  8 Au 2.92-2.99
Zn1 0.0000 0.0000 0.0000  8 Au 2.84-3.02
Au1 0.3807 0.3807 0.8580  1 Li 2.74, 4 Er 2.92-2.93, 3 Zn 3.02
Au2 0.8763 0.8763 0.3710  1 Zn 2.84, 4 Er 2.96-2.99, 3 Li 2.99
Au3 0.1237 0.1237 0.6290  1 Zn 2.84, 4 Er 2.96-2.99, 3 Li 2.99
Au4 0.6193 0.6193 0.1420  1 Li 2.74, 4 Er 2.92-2.93, 3 Zn 3.02

Summary:
theoretical density: 12.568 Mg/m³
raw total energy: -3.86 eV per atom
total moment: 0.000 Bohr magnetons per cell
energy of formation from the pure elements: -15.82 kcal/mol of atoms

***

A relaxed structure of CaIn2Hg7. Source: Alexandria, functional GGA-PBE.

Lattice parameters (Å, degrees): 3.4499 10.1582 10.1583 123.57 90.00 90.00
Last column: nearest neighbours and their distance in Å.
Positions (direct):
Ca1 0.0000 0.0000 0.0000  10 Hg 3.26-3.35, 2 Ca 3.45
In1 0.5000 0.6736 0.3264  5 Hg 2.97-3.11
In2 0.5000 0.3264 0.6736  5 Hg 2.97-3.11
Hg1 0.0000 0.8129 0.1871  2 In 3.03, 4 Hg 3.23, 1 Ca 3.35
Hg2 0.0000 0.1871 0.8129  2 In 3.03, 4 Hg 3.23, 1 Ca 3.35
Hg3 0.5000 0.1325 0.3225  1 In 2.97, 3 Hg 3.12-3.23, 2 Ca 3.26
Hg4 0.5000 0.8675 0.6775  1 In 2.97, 3 Hg 3.12-3.23, 2 Ca 3.26
Hg5 0.5000 0.3225 0.1325  1 In 2.97, 3 Hg 3.12-3.23, 2 Ca 3.26
Hg6 0.5000 0.6775 0.8675  1 In 2.97, 3 Hg 3.12-3.23, 2 Ca 3.26
Hg7 0.5000 0.5000 0.5000  2 In 3.11, 6 Hg 3.12-3.45

Summary:
theoretical density: 9.371 Mg/m³
raw total energy: -1.03 eV per atom
total moment: 0.000 Bohr magnetons per cell
energy relative to the lowest polymorph listed for this composition: 0.035 eV per atom
energy of formation from the pure elements: -1.57 kcal/mol of atoms